Material: K3HgB
Method: DFT, PBEsol
State: relaxed

Lattice parameters (Å, degrees): 6.341 6.341 6.341 90.00 90.00 90.00
Positions (direct):
K: 0.000 0.000 0.500
K: 0.000 0.500 0.000
K: 0.500 0.000 0.000
Hg: 0.000 0.000 0.000
B: 0.500 0.500 0.500

Properties
As for the density of states at the Fermi level: 1.09 states/eV per atom. The value obtained for the volume is 51.0 Å³/atom. The value obtained for the energy of formation is 1.07 eV per atom. As for the total magnetization: 1.0 μB/cell.